[1]
Here is a relaxed structure of NaSbWSe2 from Alexandria. Energies are from PBE.

Unit cell a=4.968 b=4.968 c=5.216 alpha=90.00 beta=90.00 gamma=90.00
Element x y z (fractional)
Na: 0.000 0.000 0.000
Sb: 0.500 0.500 0.500
W: 0.000 0.000 0.500
Se: 0.000 0.500 0.000
Se: 0.500 0.000 0.000

Values from the calculation:
- Total magnetization: 3.541 μB per formula unit
- Uncorrected formation energy: 1544 meV per atom
- Calculated total energy: -3.53 eV/atom
- SG: No. 123


[2]
Here is a relaxed structure of Na3Y3SbSe8 from Alexandria. Energies are from PBE.

Unit cell a=8.523 b=8.523 c=8.523 alpha=57.81 beta=57.81 gamma=57.81
Element x y z (fractional)
Na: 0.000 0.500 0.500
Na: 0.500 0.000 0.500
Na: 0.500 0.500 0.000
Y: 0.000 0.000 0.500
Y: 0.000 0.500 0.000
Y: 0.500 0.000 0.000
Sb: 0.500 0.500 0.500
Se: 0.243 0.243 0.243
Se: 0.250 0.737 0.737
Se: 0.263 0.263 0.750
Se: 0.263 0.750 0.263
Se: 0.737 0.250 0.737
Se: 0.737 0.737 0.250
Se: 0.750 0.263 0.263
Se: 0.757 0.757 0.757

Values from the calculation:
- Total magnetization: 0.000 μB per formula unit
- Uncorrected formation energy: -1392 meV per atom
- Calculated total energy: -5.08 eV/atom
- SG: No. 166


[3]
Here is a relaxed structure of Na3YSb3Se8 from Alexandria. Energies are from PBE.

Unit cell a=8.207 b=8.207 c=8.606 alpha=118.53 beta=118.53 gamma=59.97
Element x y z (fractional)
Na: 0.000 0.000 0.000
Na: 0.000 0.500 0.000
Na: 0.500 0.000 0.000
Y: 0.000 0.000 0.500
Sb: 0.000 0.500 0.500
Sb: 0.500 0.000 0.500
Sb: 0.500 0.500 0.500
Se: 0.242 0.242 0.726
Se: 0.242 0.741 0.725
Se: 0.256 0.256 0.269
Se: 0.259 0.758 0.275
Se: 0.741 0.242 0.725
Se: 0.744 0.744 0.731
Se: 0.758 0.259 0.275
Se: 0.758 0.758 0.274

Values from the calculation:
- Total magnetization: 0.000 μB per formula unit
- Uncorrected formation energy: -796 meV per atom
- Calculated total energy: -4.17 eV/atom
- SG: No. 12


[4]
Here is a relaxed structure of Na4Y3SbSe8 from Alexandria. Energies are from PBE.

Unit cell a=8.493 b=8.493 c=8.493 alpha=58.66 beta=58.66 gamma=58.66
Element x y z (fractional)
Na: 0.000 0.000 0.000
Na: 0.000 0.500 0.500
Na: 0.500 0.000 0.500
Na: 0.500 0.500 0.000
Y: 0.000 0.000 0.500
Y: 0.000 0.500 0.000
Y: 0.500 0.000 0.000
Sb: 0.500 0.500 0.500
Se: 0.243 0.243 0.243
Se: 0.243 0.744 0.744
Se: 0.256 0.256 0.757
Se: 0.256 0.757 0.256
Se: 0.744 0.243 0.744
Se: 0.744 0.744 0.243
Se: 0.757 0.256 0.256
Se: 0.757 0.757 0.757

Values from the calculation:
- Total magnetization: 0.000 μB per formula unit
- Uncorrected formation energy: -1446 meV per atom
- Calculated total energy: -4.99 eV/atom
- SG: No. 166


[5]
Here is a relaxed structure of Na2YSbSe4 from Alexandria. Energies are from PBE.

Unit cell a=7.236 b=4.152 c=7.416 alpha=90.00 beta=108.83 gamma=90.00
Element x y z (fractional)
Na: 0.000 0.000 0.000
Na: 0.500 0.500 0.000
Y: 0.000 0.500 0.500
Sb: 0.500 0.000 0.500
Se: 0.243 0.000 0.729
Se: 0.255 0.500 0.269
Se: 0.745 0.500 0.731
Se: 0.757 0.000 0.271

Values from the calculation:
- Total magnetization: 0.000 μB per formula unit
- Uncorrected formation energy: -1177 meV per atom
- Calculated total energy: -4.57 eV/atom
- SG: No. 10


[6]
Here is a relaxed structure of Na4ZnSb3Se8 from Alexandria. Energies are from PBE.

Unit cell a=8.512 b=8.512 c=8.512 alpha=56.84 beta=56.84 gamma=56.84
Element x y z (fractional)
Na: 0.000 0.000 0.000
Na: 0.000 0.500 0.500
Na: 0.500 0.000 0.500
Na: 0.500 0.500 0.000
Zn: 0.500 0.500 0.500
Sb: 0.000 0.000 0.500
Sb: 0.000 0.500 0.000
Sb: 0.500 0.000 0.000
Se: 0.245 0.245 0.245
Se: 0.255 0.733 0.733
Se: 0.267 0.267 0.745
Se: 0.267 0.745 0.267
Se: 0.733 0.255 0.733
Se: 0.733 0.733 0.255
Se: 0.745 0.267 0.267
Se: 0.755 0.755 0.755

Values from the calculation:
- Total magnetization: 0.000 μB per formula unit
- Uncorrected formation energy: -625 meV per atom
- Calculated total energy: -3.55 eV/atom
- SG: No. 166


[7]
Here is a relaxed structure of Na2ZnSbSe4 from Alexandria. Energies are from PBE.

Unit cell a=7.199 b=7.199 c=7.199 alpha=124.09 beta=124.09 gamma=83.05
Element x y z (fractional)
Na: 0.000 0.000 0.000
Na: 0.750 0.250 0.500
Zn: 0.500 0.500 0.000
Sb: 0.250 0.750 0.500
Se: 0.177 0.143 0.551
Se: 0.375 0.823 0.967
Se: 0.592 0.625 0.449
Se: 0.857 0.408 0.033

Values from the calculation:
- Total magnetization: 0.737 μB per formula unit
- Uncorrected formation energy: -612 meV per atom
- Calculated total energy: -3.36 eV/atom
- SG: No. 82


[8]
Here is a relaxed structure of Na3ZrSb2Se6 from Alexandria. Energies are from PBE.

Unit cell a=7.249 b=7.249 c=7.264 alpha=99.56 beta=99.56 gamma=120.25
Element x y z (fractional)
Na: 0.000 0.000 0.000
Na: 0.327 0.673 0.000
Na: 0.673 0.327 0.000
Zr: 0.500 0.500 0.500
Sb: 0.165 0.835 0.500
Sb: 0.835 0.165 0.500
Se: 0.108 0.425 0.277
Se: 0.258 0.258 0.724
Se: 0.425 0.108 0.277
Se: 0.575 0.892 0.723
Se: 0.742 0.742 0.276
Se: 0.892 0.575 0.723

Values from the calculation:
- Total magnetization: 0.833 μB per formula unit
- Uncorrected formation energy: -830 meV per atom
- Calculated total energy: -4.30 eV/atom
- SG: No. 12